Version P
This record from Alexandria describes crystalline CoSi2H at its relaxed geometry. The functional is GGA-PBE.

It has space group I-42d (No. 122), with a = 4.137 Å, b = 4.137 Å, c = 11.306 Å, α = 90.00°, β = 90.00° and γ = 90.00°. The asymmetric unit holds Co at (0.000, 0.000, 0.000), Si at (0.167, 0.250, 0.625) and H at (0.000, 0.000, 0.500).

The calculation puts the size of the total moment at 0.0 Bohr magnetons per cell. The value obtained for the density of states at the Fermi level is 0.399 states/eV per atom.

***

Version Q
This record from Alexandria describes crystalline CoSi2H at its relaxed geometry. The functional is GGA-PBE.

It has space group Fm-3m (No. 225), with a = 5.434 Å, b = 5.434 Å, c = 5.434 Å, α = 90.00°, β = 90.00° and γ = 90.00°. The asymmetric unit holds Co at (0.000, 0.000, 0.000), Si at (0.250, 0.250, 0.250) and H at (0.000, 0.000, 0.500).

The calculation puts the size of the total moment at 0.9 Bohr magnetons per cell. The value obtained for the density of states at the Fermi level is 0.612 states/eV per atom.

***

Pick version Q: it beats the second-best structure by 184 meV/atom.

***

Version P
This record from Alexandria describes crystalline CoSiH3 at its relaxed geometry. The functional is GGA-PBE.

It has space group Pm-3m (No. 221), with a = 3.400 Å, b = 3.400 Å, c = 3.400 Å, α = 90.00°, β = 90.00° and γ = 90.00°. The asymmetric unit holds Co at (0.000, 0.000, 0.000), Si at (0.500, 0.500, 0.500) and H at (0.000, 0.500, 0.500).

The calculation puts the size of the total moment at 1.7 Bohr magnetons per cell. The value obtained for the density of states at the Fermi level is 1.224 states/eV per atom.

***

Version Q
This record from Alexandria describes crystalline CoSiH3 at its relaxed geometry. The functional is GGA-PBE.

It has space group Pm-3m (No. 221), with a = 3.316 Å, b = 3.316 Å, c = 3.316 Å, α = 90.00°, β = 90.00° and γ = 90.00°. The asymmetric unit holds Co at (0.000, 0.000, 0.000), Si at (0.500, 0.500, 0.500) and H at (0.000, 0.000, 0.500).

The calculation puts the size of the total moment at 0.0 Bohr magnetons per cell. The value obtained for the density of states at the Fermi level is 0.313 states/eV per atom.

***

Pick version Q: it beats the second-best structure by 457 meV/atom.

***

Version P
This record from Alexandria describes crystalline TiCo2SiH at its relaxed geometry. The functional is GGA-PBE.

It has space group Cmcm (No. 63), with a = 3.455 Å, b = 9.440 Å, c = 6.522 Å, α = 90.00°, β = 90.00° and γ = 90.00°. The asymmetric unit holds Ti at (0.000, 0.061, 0.250), Co at (0.000, 0.344, 0.053), Si at (0.000, 0.223, 0.750) and H at (0.000, 0.500, 0.000).

The calculation puts the size of the total moment at 0.0 Bohr magnetons per cell. The value obtained for the density of states at the Fermi level is 0.358 states/eV per atom.

***

Version Q
This record from Alexandria describes crystalline TiCo2SiH at its relaxed geometry. The functional is GGA-PBE.

It has space group P4/mmm (No. 123), with a = 3.672 Å, b = 3.672 Å, c = 3.714 Å, α = 90.00°, β = 90.00° and γ = 90.00°. The asymmetric unit holds Ti at (0.000, 0.000, 0.000), Co at (0.000, 0.500, 0.500), Si at (0.500, 0.500, 0.000) and H at (0.000, 0.000, 0.500).

The calculation puts the size of the total moment at 0.0 Bohr magnetons per cell. The value obtained for the density of states at the Fermi level is 0.693 states/eV per atom.

***

Pick version P: it beats the second-best structure by 77 meV/atom.

***

Version P
This record from Alexandria describes crystalline Sm2CoH at its relaxed geometry. The functional is GGA-PBE.

It has space group P4/mmm (No. 123), with a = 3.246 Å, b = 3.246 Å, c = 7.005 Å, α = 90.00°, β = 90.00° and γ = 90.00°. The asymmetric unit holds Sm at (0.000, 0.000, 0.247), Co at (0.500, 0.500, 0.000) and H at (0.500, 0.500, 0.500).

The calculation puts the size of the total moment at 0.1 Bohr magnetons per cell. The value obtained for the density of states at the Fermi level is 0.733 states/eV per atom.

***

Version Q
This record from Alexandria describes crystalline Sm2CoH at its relaxed geometry. The functional is GGA-PBE.

It has space group R3m (No. 160, hexagonal axes), with a = 3.7122 Å, b = 3.7122 Å, c = 20.3186 Å, α = 90.00°, β = 90.00° and γ = 120.00°. The asymmetric unit holds Sm at (0.0000, 0.0000, 0.0000), Sm at (0.0000, 0.0000, 0.1728), Co at (0.0000, 0.0000, 0.5862) and H at (0.0000, 0.0000, 0.4163).

The calculation puts the size of the total moment at 0.0 Bohr magnetons per cell. The value obtained for the density of states at the Fermi level is 0.314 states/eV per atom.

***

Pick version Q: it beats the second-best structure by 80 meV/atom.

***

Version P
This record from Alexandria describes crystalline Sm4Co2H at its relaxed geometry. The functional is GGA-PBE.

It has space group C2/m (No. 12), with a = 13.949 Å, b = 3.809 Å, c = 5.875 Å, α = 90.00°, β = 100.36° and γ = 90.00°. The asymmetric unit holds Sm at (0.082, 0.000, 0.277), Sm at (0.157, 0.500, 0.818), Co at (0.235, 0.500, 0.378) and H at (0.000, 0.500, 0.000).

The calculation puts the size of the total moment at 0.0 Bohr magnetons per cell. The value obtained for the density of states at the Fermi level is 1.028 states/eV per atom.

***

Version Q
This record from Alexandria describes crystalline Sm4Co2H at its relaxed geometry. The functional is GGA-PBE.

It has space group I4/mmm (No. 139), with a = 4.717 Å, b = 4.717 Å, c = 13.717 Å, α = 90.00°, β = 90.00° and γ = 90.00°. The asymmetric unit holds Sm at (0.000, 0.000, 0.196), Sm at (0.000, 0.500, 0.000), Co at (0.000, 0.000, 0.382) and H at (0.000, 0.000, 0.000).

The calculation puts the size of the total moment at 0.0 Bohr magnetons per cell. The value obtained for the density of states at the Fermi level is 0.844 states/eV per atom.

***

Pick version P: it beats the second-best structure by 120 meV/atom.

***

Version P
This record from Alexandria describes crystalline Co2SnH2 at its relaxed geometry. The functional is GGA-PBE.

It has space group I4/mmm (No. 139), with a = 3.123 Å, b = 3.123 Å, c = 9.398 Å, α = 90.00°, β = 90.00° and γ = 90.00°. The asymmetric unit holds Co at (0.000, 0.000, 0.157), Sn at (0.000, 0.000, 0.500) and H at (0.000, 0.500, 0.250).

The calculation puts the size of the total moment at 0.0 Bohr magnetons per cell. The value obtained for the density of states at the Fermi level is 0.585 states/eV per atom.

***

Version Q
This record from Alexandria describes crystalline Co2SnH2 at its relaxed geometry. The functional is GGA-PBE.

It has space group I4/mmm (No. 139), with a = 3.497 Å, b = 3.497 Å, c = 8.204 Å, α = 90.00°, β = 90.00° and γ = 90.00°. The asymmetric unit holds Co at (0.000, 0.500, 0.250), Sn at (0.000, 0.000, 0.000) and H at (0.000, 0.000, 0.307).

The calculation puts the size of the total moment at 1.0 Bohr magnetons per cell. The value obtained for the density of states at the Fermi level is 0.813 states/eV per atom.

***

Pick version Q: it beats the second-best structure by 15 meV/atom.

***

Version P
This record from Alexandria describes crystalline CoSnH3 at its relaxed geometry. The functional is GGA-PBE.

It has space group Pm-3m (No. 221), with a = 3.541 Å, b = 3.541 Å, c = 3.541 Å, α = 90.00°, β = 90.00° and γ = 90.00°. The asymmetric unit holds Co at (0.000, 0.000, 0.000), Sn at (0.500, 0.500, 0.500) and H at (0.000, 0.000, 0.500).

The calculation puts the size of the total moment at 0.0 Bohr magnetons per cell. The value obtained for the density of states at the Fermi level is 0.363 states/eV per atom.

***

Version Q
This record from Alexandria describes crystalline CoSnH3 at its relaxed geometry. The functional is GGA-PBE.

It has space group P2_1/c (No. 14), with a = 6.320 Å, b = 4.526 Å, c = 8.904 Å, α = 90.00°, β = 133.22° and γ = 90.00°. The asymmetric unit holds Co at (0.114, 0.057, 0.190), Sn at (0.391, 0.250, 0.067), H at (0.095, 0.697, 0.545), H at (0.097, 0.686, 0.825) and H at (0.331, 0.173, 0.784).

The calculation puts the size of the total moment at 0.0 Bohr magnetons per cell. The value obtained for the density of states at the Fermi level is 0.292 states/eV per atom.

***

Pick version Q: it beats the second-best structure by 118 meV/atom.

***

Version P
This record from Alexandria describes crystalline CoSnH3 at its relaxed geometry. The functional is GGA-PBE.

It has space group P2_1/m (No. 11), with a = 4.624 Å, b = 4.721 Å, c = 4.628 Å, α = 90.00°, β = 116.33° and γ = 90.00°. The asymmetric unit holds Co at (0.088, 0.250, 0.412), Sn at (0.270, 0.750, 0.229), H at (0.197, 0.000, 0.696) and H at (0.284, 0.250, 0.219).

The calculation puts the size of the total moment at 0.0 Bohr magnetons per cell. The value obtained for the density of states at the Fermi level is 0.133 states/eV per atom.

***

Version Q
This record from Alexandria describes crystalline CoSnH3 at its relaxed geometry. The functional is GGA-PBE.

It has space group Pm-3m (No. 221), with a = 3.920 Å, b = 3.920 Å, c = 3.920 Å, α = 90.00°, β = 90.00° and γ = 90.00°. The asymmetric unit holds Co at (0.000, 0.000, 0.000), Sn at (0.500, 0.500, 0.500) and H at (0.000, 0.500, 0.500).

The calculation puts the size of the total moment at 2.1 Bohr magnetons per cell. The value obtained for the density of states at the Fermi level is 0.870 states/eV per atom.

***

Pick version P: it beats the second-best structure by 1036 meV/atom.